Material: TlCrIn2
Method: DFT, PBE
State: optimized geometry

```
4
Lattice="3.243 0.000 0.000 0.000 3.306 0.000 -0.150 0.000 8.958" Properties=species:S:1:pos:R:3 pbc="T T T"
Tl 0.000 0.000 0.000
Cr -0.075 0.000 4.479
In 1.548 1.653 2.676
In 1.544 1.653 6.282
```

Properties
DFT formation energy, eV/f.u.: 1.0
Energy relative to the lowest polymorph listed for this composition, meV/atom: 0.0
Total energy, Ry per atom: -0.30215